1.
DFT (PBE) results for a geometry-optimized MgSnIrRu structure.

## Properties
- E_form (eV per atom) = -0.29
- space-group type = F-43m
- magnetization (μB/f.u.) = 0.00

a b c (Å): 4.4854 4.4854 4.4854
angles (deg): 60.00 60.00 60.00
Last column: nearest neighbours and their distance in Å.
Atoms (fractional coordinates):
Ru 0.7500 0.7500 0.7500  4 Sn 2.75, 4 Mg 2.75
Sn 0.5000 0.5000 0.5000  4 Ru 2.75, 4 Ir 2.75
Mg 0.0000 0.0000 0.0000  4 Ru 2.75, 4 Ir 2.75
Ir 0.2500 0.2500 0.2500  4 Sn 2.75, 4 Mg 2.75

2.
DFT (PBE) results for a geometry-optimized ThMgIrRu structure.

## Properties
- E_form (eV per atom) = -0.44
- space-group type = F-43m
- magnetization (μB/f.u.) = 0.00

a b c (Å): 4.7667 4.7667 4.7667
angles (deg): 60.00 60.00 60.00
Last column: nearest neighbours and their distance in Å.
Atoms (fractional coordinates):
Th 0.5000 0.5000 0.5000  4 Ru 2.92, 4 Ir 2.92
Mg 0.0000 0.0000 0.0000  4 Ir 2.92, 4 Ru 2.92
Ru 0.7500 0.7500 0.7500  4 Mg 2.92, 4 Th 2.92
Ir 0.2500 0.2500 0.2500  4 Th 2.92, 4 Mg 2.92

3.
DFT (PBE) results for a geometry-optimized MgTiIrRu structure.

## Properties
- E_form (eV per atom) = -0.56
- space-group type = F-43m
- magnetization (μB/f.u.) = 0.00

a b c (Å): 4.3769 4.3769 4.3769
angles (deg): 60.00 60.00 60.00
Last column: nearest neighbours and their distance in Å.
Atoms (fractional coordinates):
Ru 0.2500 0.2500 0.2500  4 Mg 2.68, 4 Ti 2.68
Mg 0.5000 0.5000 0.5000  4 Ru 2.68, 4 Ir 2.68
Ir 0.7500 0.7500 0.7500  4 Ti 2.68, 4 Mg 2.68
Ti 0.0000 0.0000 0.0000  4 Ir 2.68, 4 Ru 2.68

4.
DFT (PBE) results for a geometry-optimized MgUIrRu structure.

## Properties
- E_form (eV per atom) = -0.33
- space-group type = F-43m
- magnetization (μB/f.u.) = 1.51

a b c (Å): 4.6451 4.6451 4.6451
angles (deg): 60.00 60.00 60.00
Last column: nearest neighbours and their distance in Å.
Atoms (fractional coordinates):
Mg 0.5000 0.5000 0.5000  4 Ir 2.84, 4 Ru 2.84
U 0.0000 0.0000 0.0000  4 Ru 2.84, 4 Ir 2.84
Ir 0.2500 0.2500 0.2500  4 U 2.84, 4 Mg 2.84
Ru 0.7500 0.7500 0.7500  4 Mg 2.84, 4 U 2.84

5.
DFT (PBE) results for a geometry-optimized MgVIrRu structure.

## Properties
- E_form (eV per atom) = -0.38
- space-group type = F-43m
- magnetization (μB/f.u.) = 0.00

a b c (Å): 4.3106 4.3106 4.3106
angles (deg): 60.00 60.00 60.00
Last column: nearest neighbours and their distance in Å.
Atoms (fractional coordinates):
Mg 0.0000 0.0000 0.0000  4 Ir 2.64, 4 Ru 2.64
Ir 0.7500 0.7500 0.7500  4 Mg 2.64, 4 V 2.64
Ru 0.2500 0.2500 0.2500  4 Mg 2.64, 4 V 2.64
V 0.5000 0.5000 0.5000  4 Ru 2.64, 4 Ir 2.64

6.
DFT (PBE) results for a geometry-optimized MgIr2RuW structure.

## Properties
- E_form (eV per atom) = 1.55
- space-group type = P4/mmm
- magnetization (μB/f.u.) = 1.17

a b c (Å): 4.7929 4.7929 4.6043
angles (deg): 90.00 90.00 90.00
Last column: nearest neighbours and their distance in Å.
Atoms (fractional coordinates):
Ir 0.0000 0.5000 0.0000  2 Ru 2.40
Ir 0.5000 0.0000 0.0000  2 Ru 2.40
Mg 0.5000 0.5000 0.5000  8 Ir 3.32, 4 W 3.39
Ru 0.0000 0.0000 0.0000  2 W 2.30, 4 Ir 2.40
W 0.0000 0.0000 0.5000  2 Ru 2.30

7.
DFT (PBE) results for a geometry-optimized MgZnIrRu structure.

## Properties
- E_form (eV per atom) = 0.00
- space-group type = F-43m
- magnetization (μB/f.u.) = 1.13

a b c (Å): 4.3848 4.3848 4.3848
angles (deg): 60.00 60.00 60.00
Last column: nearest neighbours and their distance in Å.
Atoms (fractional coordinates):
Ir 0.5000 0.5000 0.5000  4 Ru 2.69, 4 Mg 2.69
Mg 0.7500 0.7500 0.7500  4 Ir 2.69, 4 Zn 2.69
Ru 0.2500 0.2500 0.2500  4 Ir 2.69, 4 Zn 2.69
Zn 0.0000 0.0000 0.0000  4 Ru 2.69, 4 Mg 2.69

8.
DFT (PBE) results for a geometry-optimized MgIrS structure.

## Properties
- formation energy from raw total energies (eV/atom) = -0.021
- space-group type = Amm2
- magnetization (μB/f.u.) = 0.00

a b c (Å): 4.0627 4.0469 7.7937
angles (deg): 90.00 90.00 120.13
Last column: nearest neighbours and their distance in Å.
Atoms (fractional coordinates):
Mg 0.2565 0.5130 0.8286  3 S 2.52-2.67, 4 Ir 2.65-2.70, 1 Mg 2.67
Mg 0.2565 0.5130 0.1714  3 S 2.52-2.67, 4 Ir 2.65-2.70, 1 Mg 2.67
S 0.6066 0.2132 0.3065  2 Ir 2.33-2.39, 2 Mg 2.52
S 0.6066 0.2132 0.6935  2 Ir 2.33-2.39, 2 Mg 2.52
Ir 0.5872 0.1744 0.0000  2 S 2.39, 2 Mg 2.67
Ir 0.3532 0.7065 0.5000  2 S 2.33